Computed, not measured: a PBEsol-optimized structure of Li4VP2O9 at the meta-GGA SCAN level of DFT.

Values from the calculation:
The value obtained for the spin magnetization is 4.00 μB per cell. The crystal system is orthorhombic. The formation energy (no corrections) is -2.56 eV/atom. The value obtained for the density is 2.6 g/cm³.

a = 5.421 Å, b = 8.421 Å, c = 15.631 Å
α = 90.00°, β = 90.00°, γ = 90.00°
Last column: magnetic moment on the atom in μB.
Fractional coordinates of all 64 atoms:
Li1 0.336 0.470 0.120  0.00
Li2 0.720 0.311 0.060  0.00
Li3 0.696 0.884 0.189  0.00
Li4 0.162 0.734 0.138  0.00
Li5 0.662 0.234 0.362  0.00
Li6 0.196 0.384 0.311  0.00
Li7 0.220 0.811 0.440  0.00
Li8 0.836 0.970 0.380  0.00
Li9 0.164 0.470 0.620  0.00
Li10 0.780 0.311 0.560  0.00
Li11 0.804 0.884 0.689  0.00
Li12 0.338 0.734 0.638  0.00
Li13 0.838 0.234 0.862  0.00
Li14 0.304 0.384 0.811  0.00
Li15 0.280 0.811 0.940  0.00
Li16 0.664 0.970 0.880  0.00
V1 0.151 0.103 0.122  1.04
V2 0.651 0.603 0.378  1.04
V3 0.349 0.103 0.622  1.04
V4 0.849 0.603 0.878  1.04
P1 0.668 0.681 0.029  0.01
P2 0.827 0.521 0.227  0.01
P3 0.327 0.021 0.273  0.01
P4 0.168 0.181 0.471  0.01
P5 0.832 0.681 0.529  0.01
P6 0.673 0.521 0.727  0.01
P7 0.173 0.021 0.773  0.01
P8 0.332 0.181 0.971  0.01
O1 0.235 0.017 0.007  0.00
O2 0.396 0.673 0.053  0.00
O3 0.834 0.758 0.095  0.00
O4 0.310 0.276 0.060  -0.01
O5 0.852 0.111 0.122  -0.10
O6 0.305 0.926 0.184  -0.01
O7 0.660 0.446 0.162  0.00
O8 0.100 0.527 0.203  0.00
O9 0.235 0.186 0.237  0.00
O10 0.735 0.686 0.263  0.00
O11 0.600 0.027 0.297  0.00
O12 0.160 0.946 0.338  0.00
O13 0.805 0.426 0.316  -0.01
O14 0.352 0.611 0.378  -0.10
O15 0.810 0.776 0.440  -0.01
O16 0.334 0.258 0.405  0.00
O17 0.896 0.173 0.447  0.00
O18 0.735 0.517 0.493  0.00
O19 0.265 0.017 0.507  0.00
O20 0.104 0.673 0.553  0.00
O21 0.666 0.758 0.595  0.00
O22 0.190 0.276 0.560  -0.01
O23 0.648 0.111 0.622  -0.10
O24 0.195 0.926 0.684  -0.01
O25 0.840 0.446 0.662  0.00
O26 0.400 0.527 0.703  0.00
O27 0.265 0.186 0.737  0.00
O28 0.765 0.686 0.763  0.00
O29 0.900 0.027 0.797  0.00
O30 0.340 0.946 0.838  0.00
O31 0.695 0.426 0.816  -0.01
O32 0.148 0.611 0.878  -0.10
O33 0.690 0.776 0.940  -0.01
O34 0.166 0.258 0.905  0.00
O35 0.604 0.173 0.947  0.00
O36 0.765 0.517 0.993  0.00

Computed, not measured: a PBEsol-optimized structure of LiVPO4 at the meta-GGA SCAN level of DFT.

Values from the calculation:
The value obtained for the spin magnetization is 5.96 μB per cell. The crystal system is orthorhombic. The formation energy (no corrections) is -2.47 eV/atom. The value obtained for the density is 4.0 g/cm³.

a = 5.669 Å, b = 5.673 Å, c = 5.673 Å
α = 58.35°, β = 60.02°, γ = 60.02°
Last column: magnetic moment on the atom in μB.
Fractional coordinates of all 14 atoms:
Li1 0.500 0.000 0.500  0.00
Li2 0.000 0.000 0.500  0.00
V1 0.000 0.000 0.000  2.63
V2 0.000 0.500 0.500  2.63
P1 0.636 0.614 0.114  0.03
P2 0.364 0.386 0.886  0.03
O1 0.256 0.271 0.771  0.01
O2 0.298 0.729 0.229  0.01
O3 0.702 0.271 0.771  0.01
O4 0.744 0.729 0.229  0.01
O5 0.743 0.739 0.775  0.01
O6 0.743 0.275 0.239  0.01
O7 0.257 0.261 0.225  0.01
O8 0.257 0.725 0.761  0.01

Computed, not measured: a PBEsol-optimized structure of Li4V7P6O24 at the meta-GGA SCAN level of DFT.

Values from the calculation:
The value obtained for the spin magnetization is 21.00 μB per cell. The crystal system is monoclinic. The formation energy (no corrections) is -2.46 eV/atom. The value obtained for the density is 3.4 g/cm³.

a = 6.496 Å, b = 8.777 Å, c = 8.777 Å
α = 102.21°, β = 99.80°, γ = 99.80°
Last column: magnetic moment on the atom in μB.
Fractional coordinates of all 41 atoms:
Li1 0.550 0.826 0.826  0.00
Li2 0.492 0.365 0.602  0.00
Li3 0.492 0.602 0.365  0.00
Li4 0.434 0.138 0.138  0.00
V1 0.812 0.347 0.961  2.67
V2 0.812 0.961 0.347  2.67
V3 0.997 0.372 0.607  2.70
V4 0.997 0.607 0.372  2.70
V5 0.997 0.988 0.988  2.66
V6 0.185 0.018 0.632  2.67
V7 0.185 0.632 0.018  2.67
P1 0.286 0.890 0.279  0.02
P2 0.286 0.279 0.890  0.02
P3 0.935 0.681 0.681  0.01
P4 0.064 0.296 0.296  0.01
P5 0.711 0.088 0.700  0.02
P6 0.711 0.700 0.088  0.02
O1 0.079 0.776 0.592  0.01
O2 0.079 0.592 0.776  0.01
O3 0.823 0.786 0.786  0.00
O4 0.136 0.381 0.956  0.01
O5 0.136 0.956 0.381  0.01
O6 0.211 0.877 0.096  0.01
O7 0.211 0.096 0.877  0.01
O8 0.269 0.282 0.707  0.00
O9 0.269 0.707 0.282  0.00
O10 0.778 0.543 0.543  0.00
O11 0.229 0.432 0.432  0.00
O12 0.788 0.883 0.104  0.01
O13 0.788 0.104 0.883  0.01
O14 0.723 0.695 0.270  0.00
O15 0.723 0.270 0.695  0.00
O16 0.490 0.978 0.653  0.01
O17 0.490 0.653 0.978  0.01
O18 0.170 0.188 0.188  0.00
O19 0.861 0.022 0.598  0.01
O20 0.861 0.598 0.022  0.01
O21 0.922 0.203 0.387  0.01
O22 0.922 0.387 0.203  0.01
O23 0.508 0.998 0.328  0.01
O24 0.508 0.328 0.998  0.01

Computed, not measured: a PBEsol-optimized structure of Li2VPO6 at the meta-GGA SCAN level of DFT.

Values from the calculation:
The value obtained for the spin magnetization is 0.00 μB per cell. The crystal system is orthorhombic. The formation energy (no corrections) is -2.56 eV/atom. The value obtained for the density is 3.2 g/cm³.

a = 4.624 Å, b = 8.511 Å, c = 10.275 Å
α = 90.00°, β = 90.00°, γ = 90.00°
Fractional coordinates of all 40 atoms:
Li1 0.975 0.827 0.911
Li2 0.025 0.327 0.089
Li3 0.475 0.327 0.589
Li4 0.525 0.827 0.411
Li5 0.467 0.124 0.870
Li6 0.533 0.624 0.130
Li7 0.967 0.624 0.630
Li8 0.033 0.124 0.370
V1 0.480 0.004 0.110
V2 0.520 0.504 0.890
V3 0.980 0.504 0.390
V4 0.020 0.004 0.610
P1 0.420 0.807 0.717
P2 0.580 0.307 0.283
P3 0.920 0.307 0.783
P4 0.080 0.807 0.217
O1 0.314 0.648 0.778
O2 0.686 0.148 0.222
O3 0.814 0.148 0.722
O4 0.186 0.648 0.278
O5 0.269 0.815 0.580
O6 0.731 0.315 0.420
O7 0.769 0.315 0.920
O8 0.231 0.815 0.080
O9 0.752 0.816 0.215
O10 0.248 0.316 0.785
O11 0.252 0.316 0.285
O12 0.748 0.816 0.715
O13 0.265 0.945 0.788
O14 0.735 0.445 0.212
O15 0.765 0.445 0.712
O16 0.235 0.945 0.288
O17 0.701 0.975 0.988
O18 0.299 0.475 0.012
O19 0.201 0.475 0.512
O20 0.799 0.975 0.488
O21 0.254 0.133 0.050
O22 0.746 0.633 0.950
O23 0.754 0.633 0.450
O24 0.246 0.133 0.550

Computed, not measured: a PBEsol-optimized structure of Li2VP2O8 at the meta-GGA SCAN level of DFT.

Values from the calculation:
The value obtained for the spin magnetization is 4.00 μB per cell. The crystal system is orthorhombic. The formation energy (no corrections) is -2.53 eV/atom. The value obtained for the density is 2.7 g/cm³.

a = 6.767 Å, b = 8.936 Å, c = 10.267 Å
α = 90.00°, β = 90.00°, γ = 90.00°
Last column: magnetic moment on the atom in μB.
Fractional coordinates of all 52 atoms:
Li1 0.125 0.194 0.985  0.00
Li2 0.366 0.916 0.886  0.00
Li3 0.134 0.084 0.386  0.00
Li4 0.375 0.806 0.485  0.00
Li5 0.625 0.306 0.015  0.00
Li6 0.866 0.584 0.114  0.00
Li7 0.634 0.416 0.614  0.00
Li8 0.875 0.694 0.515  0.00
V1 0.265 0.220 0.685  1.04
V2 0.235 0.780 0.185  1.04
V3 0.765 0.280 0.315  1.04
V4 0.735 0.720 0.815  1.04
P1 0.961 0.433 0.854  0.00
P2 0.134 0.488 0.332  0.00
P3 0.366 0.512 0.832  0.00
P4 0.539 0.567 0.354  0.00
P5 0.461 0.067 0.146  0.00
P6 0.634 0.012 0.668  0.00
P7 0.866 0.988 0.168  0.00
P8 0.039 0.933 0.646  0.00
O1 0.960 0.835 0.195  0.00
O2 0.065 0.574 0.449  0.00
O3 0.113 0.904 0.509  0.00
O4 0.053 0.285 0.803  0.00
O5 0.126 0.579 0.204  0.01
O6 0.194 0.004 0.738  0.01
O7 0.199 0.213 0.535  -0.12
O8 0.136 0.554 0.855  0.00
O9 0.364 0.446 0.355  0.00
O10 0.301 0.787 0.035  -0.12
O11 0.306 0.996 0.238  0.01
O12 0.374 0.421 0.704  0.01
O13 0.447 0.715 0.303  0.00
O14 0.387 0.096 0.009  0.00
O15 0.435 0.426 0.949  0.00
O16 0.540 0.165 0.695  0.00
O17 0.460 0.665 0.805  0.00
O18 0.565 0.926 0.551  0.00
O19 0.613 0.596 0.491  0.00
O20 0.553 0.215 0.197  0.00
O21 0.626 0.921 0.796  0.01
O22 0.694 0.496 0.262  0.01
O23 0.699 0.287 0.465  -0.12
O24 0.636 0.946 0.145  0.00
O25 0.864 0.054 0.645  0.00
O26 0.801 0.713 0.965  -0.12
O27 0.806 0.504 0.762  0.01
O28 0.874 0.079 0.296  0.01
O29 0.947 0.785 0.697  0.00
O30 0.887 0.404 0.991  0.00
O31 0.935 0.074 0.051  0.00
O32 0.040 0.335 0.305  0.00

Computed, not measured: a PBEsol-optimized structure of LiVPO5 at the meta-GGA SCAN level of DFT.

Values from the calculation:
The value obtained for the spin magnetization is 4.00 μB per cell. The crystal system is monoclinic. The formation energy (no corrections) is -2.51 eV/atom. The value obtained for the density is 3.1 g/cm³.

a = 5.095 Å, b = 7.287 Å, c = 9.829 Å
α = 90.00°, β = 90.00°, γ = 101.47°
Last column: magnetic moment on the atom in μB.
Fractional coordinates of all 32 atoms:
P1 0.876 0.568 0.837  0.01
P2 0.876 0.068 0.663  0.01
P3 0.124 0.932 0.337  0.01
P4 0.124 0.432 0.163  0.01
V1 0.005 0.651 0.574  1.05
V2 0.995 0.849 0.074  1.05
V3 0.005 0.151 0.926  1.05
V4 0.995 0.349 0.426  1.05
O1 0.293 0.467 0.295  -0.01
O2 0.148 0.669 0.777  0.00
O3 0.784 0.527 0.450  -0.08
O4 0.125 0.622 0.095  -0.01
O5 0.756 0.694 0.938  -0.01
O6 0.875 0.878 0.595  -0.01
O7 0.852 0.831 0.277  0.00
O8 0.707 0.033 0.795  -0.01
O9 0.244 0.806 0.438  -0.01
O10 0.784 0.027 0.050  -0.08
O11 0.216 0.973 0.950  -0.08
O12 0.756 0.194 0.562  -0.01
O13 0.293 0.967 0.205  -0.01
O14 0.148 0.169 0.723  0.00
O15 0.125 0.122 0.405  -0.01
O16 0.244 0.306 0.062  -0.01
O17 0.875 0.378 0.905  -0.01
O18 0.216 0.473 0.550  -0.08
O19 0.852 0.331 0.223  0.00
O20 0.707 0.533 0.705  -0.01
Li1 0.540 0.678 0.368  0.00
Li2 0.460 0.822 0.868  0.00
Li3 0.540 0.178 0.132  0.00
Li4 0.460 0.322 0.632  0.00

Computed, not measured: a PBEsol-optimized structure of LiVPO4 at the meta-GGA SCAN level of DFT.

Values from the calculation:
The value obtained for the spin magnetization is 12.00 μB per cell. The crystal system is orthorhombic. The formation energy (no corrections) is -2.55 eV/atom. The value obtained for the density is 3.6 g/cm³.

a = 4.665 Å, b = 5.974 Å, c = 10.228 Å
α = 90.00°, β = 90.00°, γ = 90.00°
Last column: magnetic moment on the atom in μB.
Fractional coordinates of all 28 atoms:
Li1 0.000 0.000 0.500  0.00
Li2 0.500 0.000 0.000  0.00
Li3 0.000 0.500 0.500  0.00
Li4 0.500 0.500 0.000  0.00
O1 0.221 0.456 0.836  0.01
O2 0.779 0.544 0.164  0.01
O3 0.279 0.456 0.336  0.01
O4 0.221 0.044 0.836  0.01
O5 0.721 0.956 0.664  0.01
O6 0.253 0.750 0.595  0.00
O7 0.721 0.544 0.664  0.01
O8 0.779 0.956 0.164  0.01
O9 0.747 0.250 0.405  0.00
O10 0.247 0.750 0.095  0.00
O11 0.206 0.250 0.048  0.00
O12 0.753 0.250 0.905  0.00
O13 0.294 0.250 0.548  0.00
O14 0.706 0.750 0.452  0.00
O15 0.794 0.750 0.952  0.00
O16 0.279 0.044 0.336  0.01
P1 0.418 0.250 0.408  0.01
P2 0.082 0.250 0.908  0.01
P3 0.582 0.750 0.592  0.01
P4 0.918 0.750 0.092  0.01
V1 0.985 0.250 0.227  2.68
V2 0.515 0.250 0.727  2.68
V3 0.015 0.750 0.773  2.68
V4 0.485 0.750 0.273  2.68

Computed, not measured: a PBEsol-optimized structure of Li4VP6O18 at the meta-GGA SCAN level of DFT.

Values from the calculation:
The value obtained for the spin magnetization is 3.00 μB per cell. The crystal system is triclinic. The formation energy (no corrections) is -2.44 eV/atom. The value obtained for the density is 2.7 g/cm³.

a = 7.279 Å, b = 7.534 Å, c = 7.403 Å
α = 106.81°, β = 112.77°, γ = 100.53°
Last column: magnetic moment on the atom in μB.
Fractional coordinates of all 29 atoms:
Li1 0.373 0.137 0.566  0.00
Li2 0.481 0.561 0.011  0.00
Li3 0.631 0.861 0.449  0.00
Li4 0.262 0.842 0.106  0.00
V1 0.782 0.147 0.917  2.70
P1 0.030 0.250 0.677  0.00
P2 0.668 0.210 0.313  0.00
P3 0.775 0.486 0.727  0.00
P4 0.198 0.501 0.256  0.00
P5 0.335 0.771 0.683  0.00
P6 0.987 0.779 0.333  0.00
O1 0.899 0.085 0.700  0.00
O2 0.522 0.049 0.324  0.00
O3 0.910 0.216 0.430  0.00
O4 0.259 0.286 0.748  0.00
O5 0.653 0.332 0.771  0.00
O6 0.004 0.456 0.789  0.00
O7 0.633 0.219 0.105  0.00
O8 0.108 0.282 0.140  0.00
O9 0.678 0.417 0.469  0.00
O10 0.299 0.560 0.511  0.00
O11 0.804 0.696 0.826  0.00
O12 0.375 0.754 0.889  0.00
O13 0.992 0.568 0.206  0.00
O14 0.353 0.624 0.216  0.00
O15 0.761 0.754 0.274  0.00
O16 0.107 0.795 0.578  0.00
O17 0.493 0.928 0.675  0.00
O18 0.126 0.934 0.309  0.00

Computed, not measured: a PBEsol-optimized structure of LiVP2O7 at the meta-GGA SCAN level of DFT.

Values from the calculation:
The value obtained for the spin magnetization is 8.00 μB per cell. The crystal system is monoclinic. The formation energy (no corrections) is -2.59 eV/atom. The value obtained for the density is 3.2 g/cm³.

a = 6.290 Å, b = 6.290 Å, c = 12.980 Å
α = 100.89°, β = 102.43°, γ = 99.55°
Last column: magnetic moment on the atom in μB.
Fractional coordinates of all 44 atoms:
Li1 0.874 0.767 0.848  0.00
Li2 0.580 0.974 0.348  0.00
Li3 0.420 0.026 0.652  0.00
Li4 0.126 0.233 0.152  0.00
V1 0.735 0.871 0.142  1.87
V2 0.229 0.593 0.358  1.87
V3 0.771 0.407 0.642  1.87
V4 0.265 0.129 0.858  1.87
P1 0.113 0.087 0.364  0.01
P2 0.241 0.417 0.573  0.01
P3 0.344 0.668 0.927  0.01
P4 0.776 0.251 0.864  0.01
P5 0.224 0.749 0.136  0.01
P6 0.656 0.332 0.073  0.01
P7 0.759 0.583 0.427  0.01
P8 0.887 0.913 0.636  0.01
O1 0.266 0.925 0.379  0.01
O2 0.046 0.887 0.121  0.01
O3 0.444 0.340 0.630  -0.01
O4 0.218 0.268 0.314  0.01
O5 0.323 0.442 0.856  -0.01
O6 0.871 0.978 0.303  -0.01
O7 0.093 0.202 0.480  0.00
O8 0.586 0.787 0.983  -0.01
O9 0.304 0.603 0.517  -0.01
O10 0.086 0.467 0.644  -0.01
O11 0.222 0.612 0.020  0.00
O12 0.790 0.186 0.130  -0.01
O13 0.175 0.568 0.197  -0.01
O14 0.453 0.904 0.186  0.01
O15 0.547 0.096 0.814  0.01
O16 0.825 0.432 0.803  -0.01
O17 0.210 0.814 0.870  -0.01
O18 0.778 0.388 0.980  0.00
O19 0.914 0.533 0.356  -0.01
O20 0.696 0.397 0.483  -0.01
O21 0.414 0.213 0.017  -0.01
O22 0.907 0.798 0.520  0.00
O23 0.129 0.022 0.697  -0.01
O24 0.677 0.558 0.144  -0.01
O25 0.782 0.732 0.686  0.01
O26 0.556 0.660 0.370  -0.01
O27 0.954 0.113 0.879  0.01
O28 0.734 0.075 0.621  0.01

Computed, not measured: a PBEsol-optimized structure of Li3VP3O11 at the meta-GGA SCAN level of DFT.

Values from the calculation:
The value obtained for the spin magnetization is 2.00 μB per cell. The crystal system is triclinic. The formation energy (no corrections) is -2.51 eV/atom. The value obtained for the density is 2.7 g/cm³.

a = 5.957 Å, b = 8.210 Å, c = 10.451 Å
α = 117.53°, β = 96.75°, γ = 105.82°
Last column: magnetic moment on the atom in μB.
Fractional coordinates of all 36 atoms:
P1 0.063 0.350 0.771  0.00
P2 0.902 0.111 0.907  0.00
P3 0.367 0.662 0.614  0.01
P4 0.633 0.338 0.386  0.01
P5 0.098 0.889 0.093  0.00
P6 0.937 0.650 0.229  0.00
Li1 0.515 0.197 0.083  0.00
Li2 0.649 0.492 0.903  0.00
Li3 0.192 0.099 0.456  0.00
Li4 0.808 0.901 0.544  0.00
Li5 0.351 0.508 0.097  0.00
Li6 0.485 0.803 0.917  0.00
O1 0.308 0.488 0.890  0.00
O2 0.667 0.056 0.942  0.00
O3 0.904 0.461 0.746  -0.02
O4 0.888 0.259 0.849  0.00
O5 0.063 0.181 0.628  0.00
O6 0.871 0.775 0.955  0.00
O7 0.553 0.626 0.709  -0.01
O8 0.219 0.736 0.727  0.00
O9 0.513 0.200 0.434  0.00
O10 0.195 0.451 0.480  -0.01
O11 0.057 0.061 0.224  -0.01
O12 0.943 0.939 0.776  -0.01
O13 0.805 0.549 0.520  -0.01
O14 0.487 0.800 0.566  0.00
O15 0.781 0.264 0.273  0.00
O16 0.447 0.374 0.291  -0.01
O17 0.129 0.225 0.045  0.00
O18 0.937 0.819 0.372  0.00
O19 0.112 0.741 0.151  0.00
O20 0.096 0.539 0.254  -0.02
O21 0.333 0.944 0.058  0.00
O22 0.692 0.512 0.110  0.00
V1 0.114 0.326 0.272  1.00
V2 0.886 0.674 0.728  1.00